A plane-wave DFT calculation with PBE was carried out for KBaEu4 after structural relaxation.

Cell: 7.659 7.659 7.659 Å, 60.00 60.00 60.00°
Fractional positions:
1 K 0.000 0.000 0.000
2 Ba 0.750 0.750 0.750
3 Eu 0.375 0.375 0.375
4 Eu 0.375 0.375 0.874
5 Eu 0.375 0.874 0.375
6 Eu 0.874 0.375 0.375

Energy = -7.216 eV per atom
Space-group type = F-43m
Crystal system = cubic



A plane-wave DFT calculation with PBE was carried out for Hf2TeC after structural relaxation.

Cell: 5.790 5.790 10.807 Å, 90.00 90.00 90.00°
Fractional positions:
1 Hf 0.149 0.250 0.125
2 Hf 0.250 0.649 0.375
3 Hf 0.250 0.851 0.875
4 Hf 0.351 0.250 0.625
5 Hf 0.649 0.750 0.625
6 Hf 0.750 0.149 0.875
7 Hf 0.750 0.351 0.375
8 Hf 0.851 0.750 0.125
9 Te 0.000 0.000 0.500
10 Te 0.000 0.500 0.750
11 Te 0.500 0.000 0.250
12 Te 0.500 0.500 0.000
13 C 0.000 0.000 0.000
14 C 0.000 0.500 0.250
15 C 0.500 0.000 0.750
16 C 0.500 0.500 0.500

Space-group type = I-42d
Uncorrected formation energy = -0.277 eV/atom
Crystal system = tetragonal



A plane-wave DFT calculation with PBE was carried out for LiMn2Au3 after structural relaxation.

Cell: 7.240 7.240 6.198 Å, 90.00 90.00 143.16°
Fractional positions:
1 Li 0.166 0.834 0.000
2 Li 0.834 0.166 0.000
3 Mn 0.167 0.833 0.500
4 Mn 0.500 0.500 0.000
5 Mn 0.500 0.500 0.500
6 Mn 0.833 0.167 0.500
7 Au 0.000 0.000 0.247
8 Au 0.000 0.000 0.753
9 Au 0.333 0.667 0.247
10 Au 0.333 0.667 0.753
11 Au 0.667 0.333 0.247
12 Au 0.667 0.333 0.753

Energy = -5.196 eV per atom
Space-group type = Cmmm
Crystal system = orthorhombic